Entry P
A plane-wave DFT calculation with GGA-PBE was carried out for La3ErIn after structural relaxation.

a b c (Å): 3.789 8.815 14.142
angles (deg): 112.69 82.30 130.13
Fractional coordinates of all 10 atoms:
La1 0.004 0.857 0.561
La2 0.067 0.107 0.185
La3 0.944 0.301 0.016
La4 0.996 0.143 0.439
La5 0.933 0.893 0.815
La6 0.056 0.699 0.984
Er1 0.090 0.312 0.756
Er2 0.910 0.688 0.244
In1 0.941 0.503 0.627
In2 0.059 0.497 0.373

Computed properties:
As for the space group: C2/m, No. 12. For the calculated volume, the calculation gives 32.9 Å³/atom.

=====

Entry Q
A plane-wave DFT calculation with GGA-PBE was carried out for La3ErIn after structural relaxation.

a b c (Å): 4.964 4.943 13.321
angles (deg): 90.00 79.26 90.00
Fractional coordinates of all 10 atoms:
La1 0.266 0.750 0.117
La2 0.383 0.250 0.883
La3 0.074 0.750 0.500
La4 0.878 0.750 0.891
La5 0.574 0.250 0.500
La6 0.770 0.250 0.109
In1 0.671 0.750 0.307
In2 0.977 0.250 0.693
Er1 0.172 0.250 0.305
Er2 0.477 0.750 0.695

Computed properties:
As for the space group: Cmcm, No. 63. For the calculated volume, the calculation gives 32.1 Å³/atom.

=====

Most stable structure: entry Q

=====

Entry P
A plane-wave DFT calculation with GGA-PBE was carried out for LaNdErIn after structural relaxation.

a b c (Å): 5.537 5.537 5.540
angles (deg): 119.98 119.98 90.00
Fractional coordinates of all 4 atoms:
Nd1 0.500 0.500 0.000
In1 0.250 0.750 0.500
La1 0.750 0.250 0.500
Er1 0.000 0.000 0.000

Computed properties:
As for the space group: F-43m, No. 216. For the calculated volume, the calculation gives 30.0 Å³/atom.

=====

Entry Q
A plane-wave DFT calculation with GGA-PBE was carried out for LaNdErIn after structural relaxation.

a b c (Å): 5.596 5.596 5.596
angles (deg): 60.00 60.00 60.00
Fractional coordinates of all 4 atoms:
Nd1 0.500 0.500 0.500
La1 0.000 0.000 0.000
In1 0.250 0.250 0.250
Er1 0.750 0.750 0.750

Computed properties:
As for the space group: F-43m, No. 216. For the calculated volume, the calculation gives 31.0 Å³/atom.

=====

Most stable structure: entry Q